Entry 1:
{"formula": "Be3InCo", "functional": "PBE", "state": "optimized geometry", "volume_a3_per_cell": 66.8, "formation_enthalpy_0k_mev_per_atom": 443, "magnetic_moment_mub_per_fu": 0.00, "mass_density_g_cm3": 4.99, "de_polymorph_ev_per_fu": 0.000, "cell": [[4.0570, 0.0000, 0.0000], [0.0000, 4.0570, 0.0000], [0.0000, 0.0000, 4.0570]], "species": ["Be", "Be", "Be", "In", "Co"], "fractional_positions": [[0.0000, 0.0000, 0.5000], [0.0000, 0.5000, 0.0000], [0.5000, 0.0000, 0.0000], [0.5000, 0.5000, 0.5000], [0.0000, 0.0000, 0.0000]]}

Entry 2:
{"formula": "BeInCo2Mo", "functional": "PBE", "state": "optimized geometry", "volume_a3_per_cell": 101.7, "formation_enthalpy_0k_mev_per_atom": 1654, "magnetic_moment_mub_per_fu": 0.94, "mass_density_g_cm3": 5.51, "cell": [[4.4093, 0.0000, 0.0000], [0.0000, 4.4093, 0.0000], [0.0000, 0.0000, 5.2292]], "species": ["Be", "In", "Co", "Co", "Mo"], "fractional_positions": [[0.0000, 0.0000, 0.0000], [0.5000, 0.5000, 0.0000], [0.0000, 0.5000, 0.5000], [0.5000, 0.0000, 0.5000], [0.5000, 0.5000, 0.5000]]}

Entry 3:
{"formula": "SrBeIn2Co", "functional": "PBE", "state": "optimized geometry", "volume_a3_per_cell": 125.8, "formation_enthalpy_0k_mev_per_atom": 615, "magnetic_moment_mub_per_fu": 1.64, "mass_density_g_cm3": 5.08, "cell": [[4.7144, 0.0000, 0.0000], [0.0000, 4.7144, 0.0000], [0.0000, 0.0000, 5.6619]], "species": ["Sr", "Be", "In", "In", "Co"], "fractional_positions": [[0.0000, 0.0000, 0.0000], [0.0000, 0.0000, 0.5000], [0.0000, 0.5000, 0.5000], [0.5000, 0.0000, 0.5000], [0.5000, 0.5000, 0.0000]]}

Entry 4:
{"formula": "Ta2BeInCo", "functional": "PBE", "state": "optimized geometry", "volume_a3_per_cell": 87.4, "formation_enthalpy_0k_mev_per_atom": 552, "magnetic_moment_mub_per_fu": 0.00, "mass_density_g_cm3": 10.34, "cell": [[4.6137, 0.0000, 0.0000], [0.0000, 4.6137, 0.0000], [0.0000, 0.0000, 4.1080]], "species": ["Ta", "Ta", "Be", "In", "Co"], "fractional_positions": [[0.0000, 0.5000, 0.0000], [0.5000, 0.0000, 0.0000], [0.0000, 0.0000, 0.5000], [0.5000, 0.5000, 0.5000], [0.0000, 0.0000, 0.0000]]}

Entry 5:
{"formula": "Be2InCoTe", "functional": "PBE", "state": "optimized geometry", "volume_a3_per_cell": 123.9, "magnetic_moment_mub_per_fu": 2.24, "mass_density_g_cm3": 4.28, "raw_formation_energy_ev_per_fu": 6.499, "cell": [[4.4123, 0.0000, 0.0000], [0.0000, 4.4123, 0.0000], [0.0000, 0.0000, 6.3646]], "species": ["Be", "Be", "In", "Co", "Te"], "fractional_positions": [[0.0000, 0.5000, 0.0000], [0.5000, 0.0000, 0.0000], [0.0000, 0.0000, 0.0000], [0.5000, 0.5000, 0.5000], [0.0000, 0.0000, 0.5000]]}

Entry 6:
{"formula": "TiBeInCo2", "functional": "PBE", "state": "optimized geometry", "volume_a3_per_cell": 80.7, "formation_enthalpy_0k_mev_per_atom": 972, "magnetic_moment_mub_per_fu": 0.00, "mass_density_g_cm3": 5.96, "cell": [[4.2503, 0.0000, 0.0000], [0.0000, 4.2503, 0.0000], [0.0000, 0.0000, 4.4671]], "species": ["Ti", "Be", "In", "Co", "Co"], "fractional_positions": [[0.0000, 0.0000, 0.0000], [0.0000, 0.0000, 0.5000], [0.5000, 0.5000, 0.5000], [0.0000, 0.5000, 0.0000], [0.5000, 0.0000, 0.0000]]}

Entry 7:
{"formula": "ZrBeInCo", "functional": "PBE", "state": "optimized geometry", "volume_a3_per_cell": 243.0, "formation_enthalpy_0k_mev_per_atom": -158, "magnetic_moment_mub_per_fu": 0.00, "mass_density_g_cm3": 7.49, "cell": [[6.2405, 0.0000, 0.0000], [0.0000, 6.2405, 0.0000], [0.0000, 0.0000, 6.2405]], "species": ["Zr", "Zr", "Zr", "Zr", "Be", "Be", "Be", "Be", "In", "In", "In", "In", "Co", "Co", "Co", "Co"], "fractional_positions": [[0.0000, 0.0000, 0.0000], [0.0000, 0.5000, 0.5000], [0.5000, 0.0000, 0.5000], [0.5000, 0.5000, 0.0000], [0.2500, 0.2500, 0.2500], [0.2500, 0.7500, 0.7500], [0.7500, 0.2500, 0.7500], [0.7500, 0.7500, 0.2500], [0.0000, 0.0000, 0.5000], [0.0000, 0.5000, 0.0000], [0.5000, 0.0000, 0.0000], [0.5000, 0.5000, 0.5000], [0.2500, 0.2500, 0.7500], [0.2500, 0.7500, 0.2500], [0.7500, 0.2500, 0.2500], [0.7500, 0.7500, 0.7500]]}

Entry 8:
{"formula": "BeCo2Ir", "functional": "PBE", "state": "optimized geometry", "volume_a3_per_cell": 93.9, "formation_enthalpy_0k_mev_per_atom": 76, "magnetic_moment_mub_per_fu": 3.50, "mass_density_g_cm3": 11.29, "cell": [[2.7169, 0.0000, 0.0000], [0.0000, 4.3758, 0.0000], [0.0000, 0.0000, 7.8954]], "species": ["Be", "Be", "Co", "Co", "Co", "Co", "Ir", "Ir"], "fractional_positions": [[0.0000, 0.0000, 0.0000], [0.5000, 0.5000, 0.0000], [0.0000, 0.0000, 0.4759], [0.0000, 0.5000, 0.2270], [0.5000, 0.0000, 0.2270], [0.5000, 0.5000, 0.4759], [0.0000, 0.5000, 0.7629], [0.5000, 0.0000, 0.7629]]}